1.
Here is a geometry-optimized K3Th2NpTe6 structure from the Alexandria database. Energies are from PBE.

As for the calculated total energy: -5.25 eV/atom. Its symmetry is No. 12.

Unit cell a=7.8248 b=7.8248 c=8.7834 alpha=98.54 beta=98.54 gamma=119.99
Atoms (fractional coordinates):
K1 0.0000 0.0000 0.0000
K2 0.3333 0.6667 0.0000
K3 0.6667 0.3333 0.0000
Th1 0.1667 0.8333 0.5000
Th2 0.8333 0.1667 0.5000
Np1 0.5000 0.5000 0.5000
Te1 0.0932 0.4275 0.2826
Te2 0.2381 0.2381 0.7174
Te3 0.4275 0.0932 0.2826
Te4 0.5725 0.9068 0.7174
Te5 0.7619 0.7619 0.2826
Te6 0.9068 0.5725 0.7174

=====

2.
Here is a geometry-optimized K2ThNpTe4 structure from the Alexandria database. Energies are from PBE.

As for the calculated total energy: -5.44 eV/atom. Its symmetry is No. 10.

Unit cell a=7.8686 b=4.5390 c=8.7232 alpha=90.00 beta=107.47 gamma=90.00
Atoms (fractional coordinates):
K1 0.0000 0.0000 0.0000
K2 0.5000 0.5000 0.0000
Th1 0.0000 0.5000 0.5000
Np1 0.5000 0.0000 0.5000
Te1 0.2380 0.0000 0.7171
Te2 0.2609 0.5000 0.2865
Te3 0.7391 0.5000 0.7135
Te4 0.7620 0.0000 0.2829

=====

3.
Here is a geometry-optimized K3Np2TiTe6 structure from the Alexandria database. Energies are from PBE.

As for the calculated total energy: -5.52 eV/atom. Its symmetry is No. 12.

Unit cell a=7.6306 b=7.6306 c=8.6432 alpha=98.49 beta=98.49 gamma=120.03
Atoms (fractional coordinates):
K1 0.0000 0.0000 0.0000
K2 0.3283 0.6717 0.0000
K3 0.6717 0.3283 0.0000
Np1 0.1661 0.8339 0.5000
Np2 0.8339 0.1661 0.5000
Ti1 0.5000 0.5000 0.5000
Te1 0.1179 0.4322 0.2964
Te2 0.2548 0.2548 0.7050
Te3 0.4322 0.1179 0.2964
Te4 0.5678 0.8821 0.7036
Te5 0.7452 0.7452 0.2950
Te6 0.8821 0.5678 0.7036

=====

4.
Here is a geometry-optimized K3Np3TiTe8 structure from the Alexandria database. Energies are from PBE.

As for the calculated total energy: -5.84 eV/atom. Its symmetry is No. 166.

Unit cell a=9.8672 b=9.8672 c=9.8672 alpha=52.65 beta=52.65 gamma=52.65
Atoms (fractional coordinates):
K1 0.0000 0.5000 0.5000
K2 0.5000 0.0000 0.5000
K3 0.5000 0.5000 0.0000
Np1 0.0000 0.0000 0.5000
Np2 0.0000 0.5000 0.0000
Np3 0.5000 0.0000 0.0000
Ti1 0.5000 0.5000 0.5000
Te1 0.2378 0.2378 0.2378
Te2 0.2532 0.7220 0.7220
Te3 0.2780 0.2780 0.7468
Te4 0.2780 0.7468 0.2780
Te5 0.7220 0.2532 0.7220
Te6 0.7220 0.7220 0.2532
Te7 0.7468 0.2780 0.2780
Te8 0.7622 0.7622 0.7622

=====

For each record above, in turn, the calculated density of states at the Fermi level values are 1.16 1.42 1.76 2.09 states/eV/atom.
For each record above, in turn, the calculated spin magnetization values are 5.46 4.89 9.00 12.00 μB per formula unit.